No. 1
Computed, not measured: a relaxed YTiRu4 crystal at the PBE level of DFT.

Results
total magnetization: 0.00 Bohr magnetons per cell
calculated density: 8949 kg/m3
formation enthalpy at 0 K: -180.1 meV per atom

CIF file:
```
data_YTiRu4
_cell_length_a 7.3779
_cell_length_b 7.3779
_cell_length_c 7.3779
_cell_angle_alpha 90.00
_cell_angle_beta 90.00
_cell_angle_gamma 90.00
_symmetry_space_group_name_H-M 'F -4 3 m'
_symmetry_Int_Tables_number 216
_symmetry_space_group_name_Hall 'F -4 2 3'
loop_
_atom_site_label
_atom_site_fract_x
_atom_site_fract_y
_atom_site_fract_z
_atom_site_occupancy
Y1 0.0000 0.0000 0.0000 1
Ti1 0.2500 0.2500 0.7500 1
Ru1 0.1244 0.1244 0.3756 1
```


No. 2
Computed, not measured: a relaxed MnAg2Hg crystal at the PBE level of DFT.

Results
total magnetization: 4.05 Bohr magnetons per cell
calculated density: 10709 kg/m3
formation enthalpy at 0 K: 196.6 meV per atom

CIF file:
```
data_MnAg2Hg
_cell_length_a 3.1888
_cell_length_b 3.6667
_cell_length_c 6.2495
_cell_angle_alpha 90.00
_cell_angle_beta 90.10
_cell_angle_gamma 90.00
_symmetry_space_group_name_H-M 'P 1 m 1'
_symmetry_Int_Tables_number 6
loop_
_symmetry_equiv_pos_as_xyz
'x,y,z'
'x,-y,z'
loop_
_atom_site_label
_atom_site_fract_x
_atom_site_fract_y
_atom_site_fract_z
_atom_site_occupancy
Mn1 0.0000 0.0000 0.0000 1
Ag1 0.0014 0.0000 0.5206 1
Ag2 0.5007 0.5000 0.7700 1
Hg1 0.5011 0.5000 0.2496 1
```


No. 3
Computed, not measured: a relaxed YScNiAg crystal at the PBE level of DFT.

Results
total magnetization: 0.00 Bohr magnetons per cell
calculated density: 6203 kg/m3
formation enthalpy at 0 K: -298.7 meV per atom

CIF file:
```
data_YScNiAg
_cell_length_a 6.8521
_cell_length_b 6.8521
_cell_length_c 6.8521
_cell_angle_alpha 90.00
_cell_angle_beta 90.00
_cell_angle_gamma 90.00
_symmetry_space_group_name_H-M 'F -4 3 m'
_symmetry_Int_Tables_number 216
_symmetry_space_group_name_Hall 'F -4 2 3'
loop_
_atom_site_label
_atom_site_fract_x
_atom_site_fract_y
_atom_site_fract_z
_atom_site_occupancy
Y1 0.0000 0.0000 0.0000 1
Sc1 0.0000 0.0000 0.5000 1
Ni1 0.2500 0.2500 0.7500 1
Ag1 0.2500 0.2500 0.2500 1
```


No. 4
Computed, not measured: a relaxed SmTm2Tl3 crystal at the PBE level of DFT.

Results
total magnetization: 0.00 Bohr magnetons per cell
calculated density: 11204 kg/m3
formation enthalpy at 0 K: -326.0 meV per atom

CIF file:
```
data_SmTm2Tl3
_cell_length_a 3.7468
_cell_length_b 3.7468
_cell_length_c 11.6279
_cell_angle_alpha 90.00
_cell_angle_beta 90.00
_cell_angle_gamma 90.00
_symmetry_space_group_name_H-M 'P 4/m m m'
_symmetry_Int_Tables_number 123
_symmetry_space_group_name_Hall '-P 4 2'
loop_
_atom_site_label
_atom_site_fract_x
_atom_site_fract_y
_atom_site_fract_z
_atom_site_occupancy
Sm1 0.0000 0.0000 0.0000 1
Tm1 0.0000 0.0000 0.3378 1
Tl1 0.5000 0.5000 0.1766 1
Tl2 0.5000 0.5000 0.5000 1
```


No. 5
Computed, not measured: a relaxed ZnSiHg crystal at the PBE level of DFT.

Results
total magnetization: 0.00 Bohr magnetons per cell
energy relative to the elements, uncorrected: 1.2 eV/f.u.
calculated density: 8526 kg/m3

CIF file:
```
data_ZnSiHg
_cell_length_a 3.3991
_cell_length_b 4.9834
_cell_length_c 13.5253
_cell_angle_alpha 90.00
_cell_angle_beta 90.00
_cell_angle_gamma 90.00
_symmetry_space_group_name_H-M 'F m m 2'
_symmetry_Int_Tables_number 42
_symmetry_space_group_name_Hall 'F 2 -2'
loop_
_atom_site_label
_atom_site_fract_x
_atom_site_fract_y
_atom_site_fract_z
_atom_site_occupancy
Zn1 0.0000 0.0000 0.0000 1
Si1 0.0000 0.0000 0.3564 1
Hg1 0.0000 0.0000 0.6729 1
```


No. 6
Computed, not measured: a relaxed Pm2PrTmS4 crystal at the PBE level of DFT.

Results
total magnetization: 0.00 Bohr magnetons per cell
energy relative to the elements, uncorrected: -16.0 eV/f.u.
calculated density: 6641 kg/m3

CIF file:
```
data_Pm2PrTmS4
_cell_length_a 6.9310
_cell_length_b 3.9550
_cell_length_c 7.0162
_cell_angle_alpha 90.00
_cell_angle_beta 108.81
_cell_angle_gamma 90.00
_symmetry_space_group_name_H-M 'P 1 2/m 1'
_symmetry_Int_Tables_number 10
loop_
_symmetry_equiv_pos_as_xyz
'x,y,z'
'-x,-y,-z'
'-x,y,-z'
'x,-y,z'
loop_
_atom_site_label
_atom_site_fract_x
_atom_site_fract_y
_atom_site_fract_z
_atom_site_occupancy
Pm1 0.0000 0.0000 0.0000 1
Pm2 0.0000 0.5000 0.5000 1
Pr1 0.5000 0.0000 0.5000 1
Tm1 0.5000 0.5000 0.0000 1
S1 0.2525 0.5000 0.2388 1
S2 0.2615 0.0000 0.7655 1
```


No. 7
Computed, not measured: a relaxed CeDy2Tm8 crystal at the PBE level of DFT.

Results
total magnetization: 2.02 Bohr magnetons per cell
calculated density: 8572 kg/m3
formation enthalpy at 0 K: 173.5 meV per atom
energy relative to the lowest polymorph listed for this composition: 0.132 eV per atom

CIF file:
```
data_CeDy2Tm8
_cell_length_a 18.8596
_cell_length_b 6.8296
_cell_length_c 5.4702
_cell_angle_alpha 90.00
_cell_angle_beta 92.71
_cell_angle_gamma 90.00
_symmetry_space_group_name_H-M 'C 1 2/m 1'
_symmetry_Int_Tables_number 12
loop_
_symmetry_equiv_pos_as_xyz
'x,y,z'
'-x,-y,-z'
'-x,y,-z'
'x,-y,z'
'x+1/2,y+1/2,z'
'-x+1/2,-y+1/2,-z'
'-x+1/2,y+1/2,-z'
'x+1/2,-y+1/2,z'
loop_
_atom_site_label
_atom_site_fract_x
_atom_site_fract_y
_atom_site_fract_z
_atom_site_occupancy
Ce1 0.0000 0.0000 0.0000 1
Dy1 0.2162 0.5000 0.2479 1
Tm1 0.0468 0.5000 0.2381 1
Tm2 0.1324 0.2655 0.7331 1
Tm3 0.1868 0.0000 0.2343 1
```


No. 8
Computed, not measured: a relaxed LiTl12Hg3 crystal at the PBE level of DFT.

Results
total magnetization: 0.00 Bohr magnetons per cell
calculated density: 11044 kg/m3
formation enthalpy at 0 K: -0.8 meV per atom

CIF file:
```
data_LiTl12Hg3
_cell_length_a 4.8123
_cell_length_b 4.8123
_cell_length_c 19.8757
_cell_angle_alpha 90.00
_cell_angle_beta 90.00
_cell_angle_gamma 90.00
_symmetry_space_group_name_H-M 'P 4/m m m'
_symmetry_Int_Tables_number 123
_symmetry_space_group_name_Hall '-P 4 2'
loop_
_atom_site_label
_atom_site_fract_x
_atom_site_fract_y
_atom_site_fract_z
_atom_site_occupancy
Li1 0.0000 0.0000 0.0000 1
Tl1 0.0000 0.5000 0.1162 1
Tl2 0.0000 0.5000 0.3731 1
Tl3 0.5000 0.5000 0.0000 1
Tl4 0.5000 0.5000 0.2426 1
Tl5 0.5000 0.5000 0.5000 1
Hg1 0.0000 0.0000 0.2433 1
Hg2 0.0000 0.0000 0.5000 1
```


No. 9
Computed, not measured: a relaxed CuReAu4 crystal at the PBE level of DFT.

Results
total magnetization: 14.04 Bohr magnetons per cell
calculated density: 15424 kg/m3
formation enthalpy at 0 K: 819.2 meV per atom

CIF file:
```
data_CuReAu4
_cell_length_a 7.6451
_cell_length_b 7.6451
_cell_length_c 7.6451
_cell_angle_alpha 90.00
_cell_angle_beta 90.00
_cell_angle_gamma 90.00
_symmetry_space_group_name_H-M 'F -4 3 m'
_symmetry_Int_Tables_number 216
_symmetry_space_group_name_Hall 'F -4 2 3'
loop_
_atom_site_label
_atom_site_fract_x
_atom_site_fract_y
_atom_site_fract_z
_atom_site_occupancy
Cu1 0.0000 0.0000 0.0000 1
Re1 0.2500 0.2500 0.2500 1
Au1 0.1251 0.1251 0.6251 1
```


No. 10
Computed, not measured: a relaxed YSnHg2 crystal at the PBE level of DFT.

Results
total magnetization: 0.00 Bohr magnetons per cell
calculated density: 10283 kg/m3
formation enthalpy at 0 K: -423.1 meV per atom

CIF file:
```
data_YSnHg2
_cell_length_a 4.5009
_cell_length_b 4.5009
_cell_length_c 4.8530
_cell_angle_alpha 90.00
_cell_angle_beta 90.00
_cell_angle_gamma 90.00
_symmetry_space_group_name_H-M 'P 4/m m m'
_symmetry_Int_Tables_number 123
_symmetry_space_group_name_Hall '-P 4 2'
loop_
_atom_site_label
_atom_site_fract_x
_atom_site_fract_y
_atom_site_fract_z
_atom_site_occupancy
Y1 0.0000 0.0000 0.0000 1
Sn1 0.5000 0.5000 0.0000 1
Hg1 0.0000 0.5000 0.5000 1
```